1.
Computed, not measured: crystalline YMg at its relaxed geometry at the PBE level of DFT.

Lattice parameters (Å, degrees): 5.4394 10.0480 6.1083 90.00 90.00 90.00
Space group Amm2 (No. 38)
Asymmetric unit:
Y 0.0000 0.0000 0.0000 [2 per cell]
Y 0.5000 0.1777 0.2360 [4 per cell]
Mg 0.0000 0.1613 0.5270 [4 per cell]
Mg 0.5000 0.0000 0.7135 [2 per cell]

uncorrected energy: -4.0142 eV per atom
formation enthalpy at 0 K: 0.02 eV per atom
crystal system: orthorhombic

2.
Computed, not measured: crystalline YMg at its relaxed geometry at the PBE level of DFT.

Lattice parameters (Å, degrees): 11.3232 11.3232 3.2551 90.00 90.00 120.00
Space group P6_3/m (No. 176)
Asymmetric unit:
Y 0.1406 0.6289 0.2500 [6 per cell]
Mg 0.0511 0.2709 0.2500 [6 per cell]

uncorrected energy: -3.8222 eV per atom
formation enthalpy at 0 K: 0.21 eV per atom
crystal system: hexagonal

3.
Computed, not measured: crystalline Y3Mg at its relaxed geometry at the PBE level of DFT.

Lattice parameters (Å, degrees): 5.7321 5.7321 5.7321 90.00 90.00 90.00
Space group Pm-3m (No. 221)
Asymmetric unit:
Y 0.0000 0.0000 0.5000 [3 per cell]
Mg 0.0000 0.0000 0.0000 [1 per cell]

uncorrected energy: -4.1596 eV per atom
formation enthalpy at 0 K: 1.09 eV per atom
crystal system: cubic